[1]
# LiIr2F8

A geometry-optimized LiIr2F8 structure (GGA-PBE, Alexandria via LeMat-Bulk).

Cell: 3.9572 6.2189 6.3792 Å, 78.22 74.76 74.40°
Space group P-1 (No. 2)
Inequivalent atoms, fractional coordinates:
Li: 0.0000 0.0000 0.0000 (multiplicity 1)
Ir: 0.1215 0.3699 0.3679 (multiplicity 2)
F: 0.1261 0.6112 0.1278 (multiplicity 2)
F: 0.1439 0.1190 0.5970 (multiplicity 2)
F: 0.3079 0.1425 0.1458 (multiplicity 2)
F: 0.3626 0.6385 0.6612 (multiplicity 2)

Properties
Its total energy is -51.30 eV/cell. As for the volume: 13.13 A^3/atom. As for the theoretical density: 6.25 g cm⁻³. The spin magnetization comes out at 0.36 μB/cell. As for the crystal system: triclinic. The calculation puts the uncorrected formation energy at -1517 meV per atom.



[2]
# PrMg11Cd

A geometry-optimized PrMg11Cd structure (GGA-PBE, Alexandria via LeMat-Bulk).

Cell: 5.9667 14.4270 7.7654 Å, 90.00 112.11 90.00°
Space group C2/m (No. 12)
Inequivalent atoms, fractional coordinates:
Pr: 0.0000 0.0000 0.0000 (multiplicity 2)
Mg: 0.0000 0.0000 0.5000 (multiplicity 2)
Mg: 0.1056 0.3941 0.2147 (multiplicity 8)
Mg: 0.1765 0.1745 0.3525 (multiplicity 8)
Mg: 0.2500 0.2500 0.0000 (multiplicity 4)
Cd: 0.0000 0.5000 0.5000 (multiplicity 2)

Properties
Its total energy is -48.61 eV/cell. As for the volume: 23.82 A^3/atom. As for the theoretical density: 2.79 g cm⁻³. The spin magnetization comes out at 0.00 μB/cell. As for the crystal system: monoclinic.



[3]
# CdSeBr

A geometry-optimized CdSeBr structure (GGA-PBE, Alexandria via LeMat-Bulk).

Cell: 3.9413 5.9309 14.9439 Å, 90.00 90.00 90.00°
Space group Fmm2 (No. 42)
Inequivalent atoms, fractional coordinates:
Cd: 0.0000 0.0000 0.0000 (multiplicity 4)
Se: 0.0000 0.0000 0.6275 (multiplicity 4)
Br: 0.0000 0.0000 0.3738 (multiplicity 4)

Properties
Its total energy is -26.50 eV/cell. For the energy relative to the lowest polymorph listed for this composition, the calculation gives 0.368 eV/atom. As for the volume: 29.11 A^3/atom. As for the theoretical density: 5.16 g cm⁻³. The spin magnetization comes out at 0.00 μB/cell. As for the crystal system: orthorhombic. The calculation puts the uncorrected formation energy at -184 meV per atom.



[4]
# La3Pr3Dy4

A geometry-optimized La3Pr3Dy4 structure (GGA-PBE, Alexandria via LeMat-Bulk).

Cell: 3.6838 13.9011 13.8980 Å, 90.00 90.00 90.00°
Space group Amm2 (No. 38)
Inequivalent atoms, fractional coordinates:
La: 0.0000 0.0000 0.0000 (multiplicity 2)
La: 0.5000 0.2491 0.4248 (multiplicity 4)
Pr: 0.0000 0.0000 0.3503 (multiplicity 2)
Pr: 0.0000 0.1748 0.6751 (multiplicity 4)
Dy: 0.5000 0.0000 0.5536 (multiplicity 2)
Dy: 0.5000 0.0000 0.7964 (multiplicity 2)
Dy: 0.5000 0.1218 0.1763 (multiplicity 4)

Properties
Its total energy is -93.30 eV/cell. As for the volume: 35.59 A^3/atom. As for the theoretical density: 6.95 g cm⁻³. The spin magnetization comes out at 0.95 μB/cell. As for the crystal system: orthorhombic.



Number 4 is which compound?
La3Pr3Dy4